Computed, not measured: a geometry-optimized VBrO2F structure at the PBE+U level of DFT.

```
data_VBrO2F
_chemical_formula_sum 'V1 Br1 O2 F1'
_symmetry_space_group_name_H-M 'P 1'
_symmetry_Int_Tables_number 1
_cell_length_a 3.855
_cell_length_b 3.855
_cell_length_c 5.242
_cell_angle_alpha 90.00
_cell_angle_beta 90.00
_cell_angle_gamma 90.00
loop_
_symmetry_equiv_pos_as_xyz
'x,y,z'
loop_
_atom_site_label
_atom_site_type_symbol
_atom_site_fract_x
_atom_site_fract_y
_atom_site_fract_z
F1 F 0.000 0.000 0.500
O1 O 0.000 0.500 0.000
O2 O 0.500 0.000 0.000
Br1 Br 0.000 0.000 0.000
V1 V 0.500 0.500 0.500
```

Summary:
- Total DFT energy (no corrections): -3.7403 eV/atom
- Symmetry: No. 123
- Fermi-level density of states: 1.4072 states/eV/atom
- Size of the total moment: 0.8 μB per formula unit